CuSiIr2Pd | GGA-PBE | relaxed

Cell: 4.5416 4.5416 4.1086 Å, 90.00 90.00 90.00°
Space group P4/mmm (No. 123)
Symmetry-distinct sites (fractional):
Cu: 0.0000 0.0000 0.0000 x1
Si: 0.0000 0.0000 0.5000 x1
Ir: 0.0000 0.5000 0.0000 x2
Pd: 0.5000 0.5000 0.5000 x1

Computed properties:
The calculation puts the uncorrected formation energy at 1187 meV per atom. The electronic total energy comes out at -5.30 eV/atom. The magnetization comes out at 0.0 μB per cell.

---

CuSiIrPd | GGA-PBE | relaxed

Cell: 5.9806 5.9806 5.9806 Å, 90.00 90.00 90.00°
Space group F-43m (No. 216)
Symmetry-distinct sites (fractional):
Cu: 0.0000 0.0000 0.0000 x4
Si: 0.0000 0.0000 0.5000 x4
Ir: 0.2500 0.2500 0.2500 x4
Pd: 0.2500 0.2500 0.7500 x4

Computed properties:
The calculation puts the uncorrected formation energy at -323 meV per atom. The electronic total energy comes out at -6.22 eV/atom. The magnetization comes out at 0.0 μB per cell.

---

CuSnIrPd2 | GGA-PBE | relaxed

Cell: 4.5231 4.5231 4.6361 Å, 90.00 90.00 90.00°
Space group P4/mmm (No. 123)
Symmetry-distinct sites (fractional):
Cu: 0.0000 0.0000 0.0000 x1
Sn: 0.0000 0.0000 0.5000 x1
Ir: 0.5000 0.5000 0.5000 x1
Pd: 0.0000 0.5000 0.0000 x2

Computed properties:
The formation energy is 0.903 eV per atom. The electronic total energy comes out at -4.57 eV/atom. The magnetization comes out at 0.0 μB per cell.

---

TaCuIrPd | GGA-PBE | relaxed

Cell: 6.2319 6.2319 6.2319 Å, 90.00 90.00 90.00°
Space group F-43m (No. 216)
Symmetry-distinct sites (fractional):
Ta: 0.0000 0.0000 0.0000 x4
Cu: 0.0000 0.0000 0.5000 x4
Ir: 0.2500 0.2500 0.7500 x4
Pd: 0.2500 0.2500 0.2500 x4

Computed properties:
The formation energy is -0.302 eV per atom. The electronic total energy comes out at -7.80 eV/atom. The magnetization comes out at 0.0 μB per cell.

---

VCuIrPd | GGA-PBE | relaxed

Cell: 6.0526 6.0526 6.0526 Å, 90.00 90.00 90.00°
Space group F-43m (No. 216)
Symmetry-distinct sites (fractional):
V: 0.0000 0.0000 0.0000 x4
Cu: 0.0000 0.0000 0.5000 x4
Ir: 0.2500 0.2500 0.2500 x4
Pd: 0.2500 0.2500 0.7500 x4

Computed properties:
The formation energy is -0.157 eV per atom. The electronic total energy comes out at -6.97 eV/atom. The magnetization comes out at 2.8 μB per cell.

---

CuIrPdW2 | GGA-PBE | relaxed

Cell: 4.4453 4.4453 4.4603 Å, 90.00 90.00 90.00°
Space group P4/mmm (No. 123)
Symmetry-distinct sites (fractional):
Cu: 0.0000 0.0000 0.0000 x1
Ir: 0.0000 0.0000 0.5000 x1
Pd: 0.5000 0.5000 0.5000 x1
W: 0.0000 0.5000 0.0000 x2

Computed properties:
The formation energy is 1.628 eV per atom. The electronic total energy comes out at -7.18 eV/atom. The magnetization comes out at 0.0 μB per cell.

---

- Which of these has the highest magnetization?
  VCuIrPd